# TaNbFeNi (PBE, optimized geometry)
data_TaNbFeNi
_chemical_formula_sum 'Ta1 Nb1 Fe1 Ni1'
_cell_length_a 4.3556
_cell_length_b 4.3556
_cell_length_c 4.3556
_cell_angle_alpha 60.00
_cell_angle_beta 60.00
_cell_angle_gamma 60.00
_symmetry_space_group_name_H-M 'P 1'
_symmetry_Int_Tables_number 1
loop_
_symmetry_equiv_pos_as_xyz
'x,y,z'
loop_
_atom_site_label
_atom_site_type_symbol
_atom_site_fract_x
_atom_site_fract_y
_atom_site_fract_z
Fe1 Fe 0.7500 0.7500 0.7500
Ni1 Ni 0.2500 0.2500 0.2500
Nb1 Nb 0.5000 0.5000 0.5000
Ta1 Ta 0.0000 0.0000 0.0000
# **SG**: F-43m
# **V**: 14.6 A^3/atom
# **Energy relative to the elements**: -5.5 kJ/mol of atoms
# **DOS at the Fermi energy**: 1.235 states/eV/atom

# LaZr2Al (PBE, optimized geometry)
data_LaZr2Al
_chemical_formula_sum 'La1 Zr2 Al1'
_cell_length_a 5.5887
_cell_length_b 5.5887
_cell_length_c 5.5887
_cell_angle_alpha 131.72
_cell_angle_beta 131.72
_cell_angle_gamma 70.67
_symmetry_space_group_name_H-M 'P 1'
_symmetry_Int_Tables_number 1
loop_
_symmetry_equiv_pos_as_xyz
'x,y,z'
loop_
_atom_site_label
_atom_site_type_symbol
_atom_site_fract_x
_atom_site_fract_y
_atom_site_fract_z
La1 La 0.7500 0.2500 0.5000
Zr1 Zr 0.0000 0.0000 0.0000
Zr2 Zr 0.5000 0.5000 0.0000
Al1 Al 0.2500 0.7500 0.5000
# **SG**: I4/mmm
# **V**: 23.8 A^3/atom
# **Energy relative to the elements**: -5.2 kJ/mol of atoms
# **DOS at the Fermi energy**: 0.789 states/eV/atom

# Cu2ReP (PBE, optimized geometry)
data_Cu2ReP
_chemical_formula_sum 'Cu2 Re1 P1'
_cell_length_a 3.1642
_cell_length_b 3.5245
_cell_length_c 4.7879
_cell_angle_alpha 90.00
_cell_angle_beta 90.00
_cell_angle_gamma 90.00
_symmetry_space_group_name_H-M 'P 1'
_symmetry_Int_Tables_number 1
loop_
_symmetry_equiv_pos_as_xyz
'x,y,z'
loop_
_atom_site_label
_atom_site_type_symbol
_atom_site_fract_x
_atom_site_fract_y
_atom_site_fract_z
Cu1 Cu 0.0000 0.0000 0.5008
Cu2 Cu 0.0000 0.0000 0.9992
Re1 Re 0.5000 0.5000 0.7500
P1 P 0.5000 0.5000 0.2500
# **SG**: Pmmm
# **V**: 13.3 A^3/atom
# **Energy relative to the elements**: 33.5 kJ/mol of atoms
# **DOS at the Fermi energy**: 0.786 states/eV/atom